A plane-wave DFT calculation with GGA-PBE was carried out for an optimized crystal structure of LaDy15Er4.

The space group is P4/mmm (No. 123) and the conventional cell measures 5.655, 5.655 and 20.098 Å, with angles of 90.00, 90.00 and 90.00 degrees. The inequivalent atoms are La at (0.000, 0.000, 0.000), Dy at (0.000, 0.500, 0.111), Dy at (0.000, 0.500, 0.305), Dy at (0.000, 0.500, 0.500), Dy at (0.500, 0.500, 0.000), Dy at (0.500, 0.500, 0.210), Dy at (0.500, 0.500, 0.402), Er at (0.000, 0.000, 0.211) and Er at (0.000, 0.000, 0.402).

The magnetization is 0.00 Bohr magnetons per cell. The energy of formation comes out at 0.1385 eV per atom. Its energy is -4.472 eV/atom.